Entry 1:
The following is a DFT calculation (GGA-PBE) of crystalline Nd2Dy2YHo at its relaxed geometry.

Summary:
Density, g/cm³: 7.2
V, Å³ per atom: 33.17
Formation energy, eV/atom: 0.14
Uncorrected energy, eV per formula unit: -29.0

Lattice parameters (Å, degrees): 6.5662 6.8227 8.9246 90.00 95.45 90.00
Last column: nearest neighbours and their distance in Å.
Space group P2_1/m (No. 11)
Unique sites:
Nd: 0.0878 0.2500 0.0198 x2  2 Ho 3.22-3.36, 3 Nd 3.41-3.61, 2 Dy 3.52, 1 Y 3.54
Nd: 0.1765 0.2500 0.6497 x2  1 Nd 3.41, 3 Y 3.41-3.42, 6 Dy 3.55-3.76
Dy: 0.3306 0.5010 0.3313 x4  3 Dy 3.40-3.57, 1 Ho 3.48, 4 Nd 3.52-3.76, 3 Y 3.57-3.79
Y: 0.1815 0.7500 0.6548 x2  1 Ho 3.37, 4 Nd 3.41-3.54, 4 Dy 3.57-3.62
Ho: 0.4255 0.7500 0.0050 x2  2 Nd 3.22-3.36, 1 Y 3.37, 2 Dy 3.48, 2 Ho 3.55

Entry 2:
The following is a DFT calculation (GGA-PBE) of crystalline Nd2Dy4Y2Ho at its relaxed geometry.

Summary:
Density, g/cm³: 7.3
V, Å³ per atom: 32.47
Formation energy, eV/atom: 0.00
Uncorrected energy, eV per formula unit: -45.5

Lattice parameters (Å, degrees): 18.7301 3.6111 9.5903 90.00 115.71 90.00
Last column: nearest neighbours and their distance in Å.
Space group C2/m (No. 12)
Unique sites:
Nd: 0.1654 0.0000 0.0001 x4  3 Dy 3.55-3.57, 2 Ho 3.59, 3 Y 3.59-3.60, 4 Nd 3.61-3.65
Dy: 0.0192 0.0000 0.3337 x4  4 Y 3.52-3.61, 1 Nd 3.55, 2 Ho 3.55, 5 Dy 3.56-3.61
Dy: 0.1853 0.5000 0.3357 x4  3 Y 3.51-3.62, 6 Dy 3.53-3.61, 1 Ho 3.57, 2 Nd 3.57
Y: 0.1466 0.5000 0.6626 x4  7 Dy 3.51-3.62, 3 Nd 3.59-3.60, 2 Y 3.61
Ho: 0.0000 0.5000 0.0000 x2  6 Dy 3.55-3.57, 4 Nd 3.59, 2 Ho 3.61